Here is crystalline Tb12Tl3In at its relaxed geometry from Alexandria. Energies are from PBE-GGA.

a = 4.8643 Å, b = 4.8643 Å, c = 19.4750 Å
α = 90.00°, β = 90.00°, γ = 90.00°
With the nearest neighbours (Å) after each atom.
Space group P4/mmm (No. 123)
Asymmetric unit:
Tb: 0.0000 0.0000 0.0000 (multiplicity 1)  8 Tb 3.43, 4 In 3.44
Tb: 0.0000 0.0000 0.2497 (multiplicity 2)  4 Tl 3.44, 8 Tb 3.44-3.45
Tb: 0.0000 0.0000 0.5000 (multiplicity 1)  4 Tl 3.44, 8 Tb 3.44
Tb: 0.0000 0.5000 0.1241 (multiplicity 4)  8 Tb 3.43-3.45, 2 In 3.43, 2 Tl 3.45
Tb: 0.0000 0.5000 0.3749 (multiplicity 4)  8 Tb 3.44, 4 Tl 3.44
Tl: 0.5000 0.5000 0.2498 (multiplicity 2)  12 Tb 3.44-3.45
Tl: 0.5000 0.5000 0.5000 (multiplicity 1)  12 Tb 3.44
In: 0.5000 0.5000 0.0000 (multiplicity 1)  12 Tb 3.43-3.44

* formation energy from the elements: -0.2068 eV per atom
* calculated total energy: -4.29 eV/atom
* total moment: 2.26 Bohr magnetons per cell

=====

Here is crystalline VTe2Au at its relaxed geometry from Alexandria. Energies are from PBE-GGA.

a = 3.8484 Å, b = 3.8484 Å, c = 22.2101 Å
α = 90.00°, β = 90.00°, γ = 120.00°
With the nearest neighbours (Å) after each atom.
Space group R3m (No. 160, hexagonal axes)
Asymmetric unit:
V: 0.0000 0.0000 0.0000 (multiplicity 3)  6 Te 2.77-2.83
Te: 0.0000 0.0000 0.2590 (multiplicity 3)  3 V 2.77, 3 Au 2.98
Te: 0.0000 0.0000 0.4121 (multiplicity 3)  3 V 2.83, 3 Au 3.00
Au: 0.0000 0.0000 0.8365 (multiplicity 3)  6 Te 2.98-3.00

* calculated total energy: -4.65 eV/atom
* distance to the lowest polymorph of the same formula: 132 meV per atom
* total moment: 6.03 Bohr magnetons per cell

=====

Here is crystalline YTh2Pt9 at its relaxed geometry from Alexandria. Energies are from PBE-GGA.

a = 4.2053 Å, b = 4.2053 Å, c = 12.5720 Å
α = 90.00°, β = 90.00°, γ = 90.00°
With the nearest neighbours (Å) after each atom.
Space group P4/mmm (No. 123)
Asymmetric unit:
Y: 0.0000 0.0000 0.0000 (multiplicity 1)  12 Pt 2.94-2.97
Th: 0.0000 0.0000 0.3289 (multiplicity 2)  12 Pt 2.96-3.01
Pt: 0.0000 0.5000 0.1635 (multiplicity 4)  8 Pt 2.94-2.99, 2 Y 2.94, 2 Th 2.96
Pt: 0.0000 0.5000 0.5000 (multiplicity 2)  8 Pt 2.97-2.98, 4 Th 3.01
Pt: 0.5000 0.5000 0.0000 (multiplicity 1)  8 Pt 2.94, 4 Y 2.97
Pt: 0.5000 0.5000 0.3321 (multiplicity 2)  4 Th 2.97, 8 Pt 2.98-2.99

* formation energy from the elements: -1.0982 eV per atom
* calculated total energy: -7.40 eV/atom
* distance to the lowest polymorph of the same formula: 0 meV per atom
* total moment: 0.00 Bohr magnetons per cell